VASP calculation (GGA+U) on a geometry-optimized TlGaCoO4 structure.

a = 6.275 Å, b = 6.354 Å, c = 8.731 Å
α = 90.00°, β = 90.00°, γ = 90.00°
Space group Imma (No. 74)
Inequivalent atoms, fractional coordinates:
Tl1 0.000 0.000 0.000
Ga1 0.000 0.250 0.374
Co1 0.250 0.250 0.750
O1 0.000 0.006 0.742
O2 0.238 0.250 0.510

Values from the calculation:
As for the energy: -5.45 eV/atom.

***

VASP calculation (GGA+U) on a geometry-optimized KMn2ZnF8 structure.

a = 5.041 Å, b = 5.047 Å, c = 6.816 Å
α = 87.66°, β = 87.63°, γ = 86.03°
Space group P-1 (No. 2)
Inequivalent atoms, fractional coordinates:
K1 0.000 0.000 0.000
Mn1 0.493 0.493 0.259
Zn1 0.000 0.000 0.500
F1 0.211 0.783 0.705
F2 0.219 0.791 0.295
F3 0.302 0.304 0.486
F4 0.336 0.339 0.982

Values from the calculation:
As for the energy: -5.18 eV/atom.

***

The lowest energy belongs to which entry? TlGaCoO4